Record 1
# InCo2SnH

A relaxed InCo2SnH crystal (PBE, the Alexandria database).

Calculated values
Total magnetization   4.4 μB/cell
V   27.7 A^3/atom
Raw total energy   -3.39 eV/atom

```
data_InCo2SnH
_chemical_formula_sum 'In1 Co2 Sn1 H1'
_cell_length_a 4.8666
_cell_length_b 4.8666
_cell_length_c 5.8425
_cell_angle_alpha 90.00
_cell_angle_beta 90.00
_cell_angle_gamma 90.00
_space_group_name_H-M_alt 'P 4/m m m'
_space_group_IT_number 123
_space_group_name_Hall '-P 4 2'
loop_
_atom_site_label
_atom_site_fract_x
_atom_site_fract_y
_atom_site_fract_z
_atom_site_occupancy
In1 0.0000 0.0000 0.0000 1
Co1 0.0000 0.5000 0.5000 1
Sn1 0.0000 0.0000 0.5000 1
H1 0.5000 0.5000 0.0000 1
```

Record 2
# Ta2InCoH

A relaxed Ta2InCoH crystal (PBE, the Alexandria database).

Calculated values
Total magnetization   1.1 μB/cell
V   13.9 A^3/atom
Raw total energy   -7.31 eV/atom

```
data_Ta2InCoH
_chemical_formula_sum 'Ta2 In1 Co1 H1'
_cell_length_a 4.1052
_cell_length_b 4.1052
_cell_length_c 4.1133
_cell_angle_alpha 90.00
_cell_angle_beta 90.00
_cell_angle_gamma 90.00
_space_group_name_H-M_alt 'P 4/m m m'
_space_group_IT_number 123
_space_group_name_Hall '-P 4 2'
loop_
_atom_site_label
_atom_site_fract_x
_atom_site_fract_y
_atom_site_fract_z
_atom_site_occupancy
Ta1 0.0000 0.5000 0.0000 1
In1 0.0000 0.0000 0.5000 1
Co1 0.5000 0.5000 0.5000 1
H1 0.5000 0.5000 0.0000 1
```

Record 3
# TiInCo2H

A relaxed TiInCo2H crystal (PBE, the Alexandria database).

Calculated values
Total magnetization   0.0 μB/cell
V   11.7 A^3/atom
Raw total energy   -5.73 eV/atom

```
data_TiInCo2H
_chemical_formula_sum 'Ti1 In1 Co2 H1'
_cell_length_a 3.9391
_cell_length_b 3.9391
_cell_length_c 3.7649
_cell_angle_alpha 90.00
_cell_angle_beta 90.00
_cell_angle_gamma 90.00
_space_group_name_H-M_alt 'P 4/m m m'
_space_group_IT_number 123
_space_group_name_Hall '-P 4 2'
loop_
_atom_site_label
_atom_site_fract_x
_atom_site_fract_y
_atom_site_fract_z
_atom_site_occupancy
Ti1 0.0000 0.0000 0.0000 1
In1 0.5000 0.5000 0.0000 1
Co1 0.0000 0.5000 0.5000 1
H1 0.0000 0.0000 0.5000 1
```

Repeat the second record exactly.
# Ta2InCoH

A relaxed Ta2InCoH crystal (PBE, the Alexandria database).

Calculated values
Total magnetization   1.1 μB/cell
V   13.9 A^3/atom
Raw total energy   -7.31 eV/atom

```
data_Ta2InCoH
_chemical_formula_sum 'Ta2 In1 Co1 H1'
_cell_length_a 4.1052
_cell_length_b 4.1052
_cell_length_c 4.1133
_cell_angle_alpha 90.00
_cell_angle_beta 90.00
_cell_angle_gamma 90.00
_space_group_name_H-M_alt 'P 4/m m m'
_space_group_IT_number 123
_space_group_name_Hall '-P 4 2'
loop_
_atom_site_label
_atom_site_fract_x
_atom_site_fract_y
_atom_site_fract_z
_atom_site_occupancy
Ta1 0.0000 0.5000 0.0000 1
In1 0.0000 0.0000 0.5000 1
Co1 0.5000 0.5000 0.5000 1
H1 0.5000 0.5000 0.0000 1
```